{"formula": "Ta4SnRh7", "functional": "PBE-GGA", "state": "relaxed", "dos_at_fermi_per_ev_cell": 8.6, "formation_enthalpy_0k_kj_per_mol_fu": -238, "magmom_total_mub_per_cell": 0.0, "lattice": [[-1.1101, 4.4720, -1.2655], [-7.5806, 1.6253, 3.3721], [1.3943, 4.0422, 4.0398]], "species": ["Ta", "Ta", "Ta", "Ta", "Sn", "Rh", "Rh", "Rh", "Rh", "Rh", "Rh", "Rh"], "frac_coords": [[0.5854, 0.2268, 0.6024], [0.4146, 0.7732, 0.3976], [0.7440, 0.6674, 0.8445], [0.2560, 0.3326, 0.1555], [0.0000, 0.0000, 0.0000], [0.7875, 0.9061, 0.5189], [0.2125, 0.0939, 0.4811], [0.0740, 0.6569, 0.1951], [0.9260, 0.3431, 0.8049], [0.3590, 0.5438, 0.7382], [0.5000, 0.0000, 0.0000], [0.6410, 0.4562, 0.2618]]}